<A>
Compound: LiMg4Ag7
Source: the Alexandria database
Functional: PBE
Structure: relaxed

a = 4.735 Å, b = 5.241 Å, c = 9.671 Å
α = 103.69°, β = 103.73°, γ = 90.12°
Sites, in units of the cell vectors:
Li 0.000 0.000 0.000
Mg 0.139 0.824 0.279
Mg 0.386 0.620 0.776
Mg 0.614 0.380 0.224
Mg 0.861 0.176 0.721
Ag 0.000 0.500 0.000
Ag 0.214 0.384 0.427
Ag 0.294 0.962 0.587
Ag 0.453 0.185 0.905
Ag 0.547 0.815 0.095
Ag 0.706 0.038 0.413
Ag 0.786 0.616 0.573

***

<B>
Compound: LiMg4Ag7
Source: the Alexandria database
Functional: PBE
Structure: relaxed

a = 5.763 Å, b = 5.763 Å, c = 10.381 Å
α = 115.01°, β = 115.01°, γ = 50.59°
Sites, in units of the cell vectors:
Li 0.000 0.000 0.000
Mg 0.252 0.252 0.679
Mg 0.399 0.399 0.224
Mg 0.601 0.601 0.776
Mg 0.748 0.748 0.321
Ag 0.053 0.053 0.347
Ag 0.208 0.208 0.921
Ag 0.359 0.359 0.480
Ag 0.500 0.500 0.000
Ag 0.641 0.641 0.520
Ag 0.792 0.792 0.079
Ag 0.947 0.947 0.653

***

<A> (62 meV/atom below the next structure)

***

<A>
Compound: Li2Mg2Ag5
Source: the Alexandria database
Functional: PBE
Structure: relaxed

a = 8.519 Å, b = 8.519 Å, c = 8.519 Å
α = 72.91°, β = 130.62°, γ = 130.00°
Sites, in units of the cell vectors:
Li 0.000 0.000 0.000
Li 0.000 0.500 0.500
Li 0.035 0.256 0.279
Li 0.977 0.756 0.721
Mg 0.355 0.501 0.112
Mg 0.355 0.743 0.354
Mg 0.389 0.001 0.646
Mg 0.389 0.243 0.888
Ag 0.489 0.932 0.057
Ag 0.499 0.137 0.267
Ag 0.499 0.731 0.862
Ag 0.529 0.357 0.473
Ag 0.529 0.556 0.672
Ag 0.870 0.231 0.733
Ag 0.870 0.637 0.138
Ag 0.874 0.432 0.943
Ag 0.884 0.056 0.527
Ag 0.884 0.857 0.328

***

<B>
Compound: Li2Mg2Ag5
Source: the Alexandria database
Functional: PBE
Structure: relaxed

a = 4.996 Å, b = 5.090 Å, c = 6.649 Å
α = 82.10°, β = 74.60°, γ = 79.20°
Sites, in units of the cell vectors:
Li 0.234 0.435 0.097
Li 0.766 0.565 0.903
Mg 0.131 0.213 0.565
Mg 0.869 0.787 0.435
Ag 0.000 0.000 0.000
Ag 0.320 0.660 0.670
Ag 0.433 0.894 0.219
Ag 0.567 0.106 0.781
Ag 0.680 0.340 0.330

***

<B> (116 meV/atom below the next structure)

***

<A>
Compound: LiMg2Ag5
Source: the Alexandria database
Functional: PBE
Structure: relaxed

a = 5.830 Å, b = 5.830 Å, c = 5.830 Å
α = 118.96°, β = 118.96°, γ = 91.81°
Sites, in units of the cell vectors:
Li 0.000 0.000 0.000
Mg 0.499 0.999 0.500
Mg 0.999 0.499 0.500
Ag 0.499 0.499 0.000
Ag 0.500 0.500 0.500
Ag 0.500 0.999 0.000
Ag 0.999 0.500 0.000
Ag 0.999 0.999 0.500

***

<B>
Compound: LiMg2Ag5
Source: the Alexandria database
Functional: PBE
Structure: relaxed

a = 5.994 Å, b = 5.994 Å, c = 4.488 Å
α = 90.00°, β = 90.00°, γ = 90.00°
Sites, in units of the cell vectors:
Li 0.000 0.000 0.000
Mg 0.000 0.500 0.500
Mg 0.500 0.000 0.500
Ag 0.000 0.000 0.500
Ag 0.274 0.274 0.000
Ag 0.274 0.726 0.000
Ag 0.726 0.274 0.000
Ag 0.726 0.726 0.000

***

<A> (310 meV/atom below the next structure)

***

<A>
Compound: LiMg2Ag3
Source: the Alexandria database
Functional: PBE
Structure: relaxed

a = 6.284 Å, b = 6.284 Å, c = 5.756 Å
α = 90.00°, β = 90.00°, γ = 90.71°
Sites, in units of the cell vectors:
Li 0.228 0.772 0.750
Li 0.772 0.228 0.250
Mg 0.103 0.554 0.250
Mg 0.446 0.897 0.250
Mg 0.554 0.103 0.750
Mg 0.897 0.446 0.750
Ag 0.163 0.163 0.000
Ag 0.163 0.163 0.500
Ag 0.500 0.500 0.000
Ag 0.500 0.500 0.500
Ag 0.837 0.837 0.000
Ag 0.837 0.837 0.500

***

<B>
Compound: LiMg2Ag3
Source: the Alexandria database
Functional: PBE
Structure: relaxed

a = 3.315 Å, b = 3.315 Å, c = 9.667 Å
α = 90.00°, β = 90.00°, γ = 90.00°
Sites, in units of the cell vectors:
Li 0.000 0.000 0.000
Mg 0.000 0.000 0.328
Mg 0.000 0.000 0.672
Ag 0.500 0.500 0.155
Ag 0.500 0.500 0.500
Ag 0.500 0.500 0.845

***

<B> (114 meV/atom below the next structure)

***

<A>
Compound: Li2MgAg5
Source: the Alexandria database
Functional: PBE
Structure: relaxed

a = 7.405 Å, b = 7.405 Å, c = 7.405 Å
α = 122.64°, β = 122.64°, γ = 85.49°
Sites, in units of the cell vectors:
Li 0.149 0.649 0.798
Li 0.351 0.149 0.500
Li 0.649 0.851 0.500
Li 0.851 0.351 0.202
Mg 0.250 0.250 0.000
Mg 0.750 0.750 0.000
Ag 0.000 0.000 0.000
Ag 0.006 0.804 0.500
Ag 0.196 0.696 0.202
Ag 0.304 0.506 0.500
Ag 0.494 0.994 0.798
Ag 0.500 0.500 0.000
Ag 0.506 0.006 0.202
Ag 0.696 0.494 0.500
Ag 0.804 0.304 0.798
Ag 0.994 0.196 0.500

***

<B>
Compound: Li2MgAg5
Source: the Alexandria database
Functional: PBE
Structure: relaxed

a = 5.796 Å, b = 11.624 Å, c = 4.092 Å
α = 90.00°, β = 90.00°, γ = 90.00°
Sites, in units of the cell vectors:
Li 0.219 0.133 0.000
Li 0.281 0.633 0.000
Li 0.719 0.367 0.000
Li 0.781 0.867 0.000
Mg 0.000 0.500 0.500
Mg 0.500 0.000 0.500
Ag 0.000 0.000 0.500
Ag 0.024 0.748 0.500
Ag 0.230 0.380 0.000
Ag 0.270 0.880 0.000
Ag 0.476 0.248 0.500
Ag 0.500 0.500 0.500
Ag 0.524 0.752 0.500
Ag 0.730 0.120 0.000
Ag 0.770 0.620 0.000
Ag 0.976 0.252 0.500

***

<B> (55 meV/atom below the next structure)

***

<A>
Compound: Li8Mg3Ag2
Source: the Alexandria database
Functional: PBE
Structure: relaxed

a = 11.036 Å, b = 11.036 Å, c = 11.036 Å
α = 27.43°, β = 27.43°, γ = 27.43°
Sites, in units of the cell vectors:
Li 0.219 0.219 0.219
Li 0.236 0.236 0.732
Li 0.236 0.732 0.236
Li 0.268 0.764 0.764
Li 0.732 0.236 0.236
Li 0.764 0.268 0.764
Li 0.764 0.764 0.268
Li 0.781 0.781 0.781
Mg 0.318 0.318 0.318
Mg 0.500 0.500 0.500
Mg 0.682 0.682 0.682
Ag 0.138 0.138 0.138
Ag 0.862 0.862 0.862

***

<B>
Compound: Li8Mg3Ag2
Source: the Alexandria database
Functional: PBE
Structure: relaxed

a = 8.233 Å, b = 8.233 Å, c = 4.789 Å
α = 90.00°, β = 90.00°, γ = 124.11°
Sites, in units of the cell vectors:
Li 0.118 0.882 0.000
Li 0.181 0.438 0.500
Li 0.309 0.691 0.000
Li 0.438 0.181 0.500
Li 0.562 0.819 0.500
Li 0.691 0.309 0.000
Li 0.819 0.562 0.500
Li 0.882 0.118 0.000
Mg 0.000 0.000 0.500
Mg 0.308 0.308 0.000
Mg 0.692 0.692 0.000
Ag 0.209 0.791 0.500
Ag 0.791 0.209 0.500

***

<B> (20 meV/atom below the next structure)

***

<A>
Compound: Li12Mg2Ag5
Source: the Alexandria database
Functional: PBE
Structure: relaxed

a = 9.308 Å, b = 9.308 Å, c = 4.881 Å
α = 91.57°, β = 91.57°, γ = 52.59°
Sites, in units of the cell vectors:
Li 0.082 0.082 0.408
Li 0.100 0.466 0.809
Li 0.173 0.587 0.394
Li 0.413 0.413 0.960
Li 0.413 0.827 0.606
Li 0.466 0.100 0.809
Li 0.534 0.900 0.191
Li 0.587 0.173 0.394
Li 0.587 0.587 0.040
Li 0.827 0.413 0.606
Li 0.900 0.534 0.191
Li 0.918 0.918 0.592
Mg 0.198 0.802 0.000
Mg 0.802 0.198 0.000
Ag 0.143 0.143 0.906
Ag 0.251 0.251 0.357
Ag 0.500 0.500 0.500
Ag 0.749 0.749 0.643
Ag 0.857 0.857 0.094

***

<B>
Compound: Li12Mg2Ag5
Source: the Alexandria database
Functional: PBE
Structure: relaxed

a = 7.358 Å, b = 7.358 Å, c = 9.263 Å
α = 122.21°, β = 122.21°, γ = 66.03°
Sites, in units of the cell vectors:
Li 0.002 0.610 0.191
Li 0.091 0.704 0.637
Li 0.129 0.129 0.013
Li 0.296 0.909 0.363
Li 0.355 0.355 0.424
Li 0.390 0.998 0.809
Li 0.610 0.002 0.191
Li 0.645 0.645 0.576
Li 0.704 0.091 0.637
Li 0.871 0.871 0.987
Li 0.909 0.296 0.363
Li 0.998 0.390 0.809
Mg 0.311 0.689 0.000
Mg 0.689 0.311 0.000
Ag 0.000 0.000 0.500
Ag 0.294 0.294 0.670
Ag 0.411 0.411 0.170
Ag 0.589 0.589 0.830
Ag 0.706 0.706 0.330

***

<B> (32 meV/atom below the next structure)

***

<A>
Compound: Li6Mg2Ag3
Source: the Alexandria database
Functional: PBE
Structure: relaxed

a = 9.210 Å, b = 9.210 Å, c = 3.058 Å
α = 90.00°, β = 90.00°, γ = 127.02°
Sites, in units of the cell vectors:
Li 0.098 0.902 0.000
Li 0.148 0.478 0.000
Li 0.478 0.148 0.000
Li 0.522 0.852 0.000
Li 0.852 0.522 0.000
Li 0.902 0.098 0.000
Mg 0.223 0.223 0.500
Mg 0.777 0.777 0.500
Ag 0.226 0.774 0.500
Ag 0.500 0.500 0.000
Ag 0.774 0.226 0.500

***

<B>
Compound: Li6Mg2Ag3
Source: the Alexandria database
Functional: PBE
Structure: relaxed

a = 14.591 Å, b = 14.591 Å, c = 14.591 Å
α = 165.14°, β = 165.14°, γ = 21.08°
Sites, in units of the cell vectors:
Li 0.164 0.664 0.500
Li 0.245 0.245 0.000
Li 0.336 0.836 0.500
Li 0.664 0.164 0.500
Li 0.755 0.755 0.000
Li 0.836 0.336 0.500
Mg 0.444 0.444 0.000
Mg 0.556 0.556 0.000
Ag 0.000 0.000 0.000
Ag 0.097 0.097 0.000
Ag 0.903 0.903 0.000

***

<A> (39 meV/atom below the next structure)